A plane-wave DFT calculation with PBE was carried out for a relaxed structure of Zr6ScIn.

Cell lengths 5.1871, 6.3968, 6.3968 Å; angles 119.99, 90.00, 90.00 degrees
Element x y z (fractional)
Zr 0.0000 0.0850 0.4174
Zr 0.0000 0.5826 0.9150
Zr 0.0000 0.5827 0.4173
Zr 0.5000 0.4106 0.0805
Zr 0.5000 0.9195 0.5894
Zr 0.5000 0.9192 0.0808
Sc 0.5000 0.4167 0.5833
In 0.0000 0.0834 0.9166

Values from the calculation:
Distance to the lowest polymorph of the same formula   0.00 eV/f.u.
Formation energy   -0.1064 eV per atom
Fermi-level density of states   0.78 states/eV/atom
Uncorrected energy   -7.65 eV/atom

A plane-wave DFT calculation with PBE was carried out for a relaxed structure of CaTc3Ir.

Cell lengths 4.7738, 4.7738, 4.7738 Å; angles 90.00, 90.00, 90.00 degrees
Element x y z (fractional)
Ca 0.5000 0.5000 0.5000
Ir 0.0000 0.0000 0.0000
Tc 0.0000 0.5000 0.0000
Tc 0.0000 0.0000 0.5000
Tc 0.5000 0.0000 0.0000

Values from the calculation:
Distance to the lowest polymorph of the same formula   0.00 eV/f.u.
Formation energy   1.2244 eV per atom
Fermi-level density of states   1.14 states/eV/atom
Uncorrected energy   -7.17 eV/atom

> Which value of distance to the lowest polymorph of the same formula does entry 2 give?

0.00 eV/f.u.

> uncorrected energy of number 2 (CaTc3Ir)?

-7.17 eV/atom

> formation energy of number 1 (Zr6ScIn)?

-0.1064 eV per atom